# 1
Below is Nd2HoTe2Se2 after structural relaxation, with properties calculated at the PBE level.

DOS(E_F) ... 0.422 states/eV/atom
Total energy ... -5.251 eV per atom

CIF file:
```
data_Nd2HoTe2Se2
_chemical_formula_sum 'Nd4 Ho2 Te4 Se4'
_cell_length_a 5.2800
_cell_length_b 5.2800
_cell_length_c 16.0141
_cell_angle_alpha 90.00
_cell_angle_beta 90.00
_cell_angle_gamma 90.00
_symmetry_space_group_name_H-M 'I 4/m m m'
_symmetry_Int_Tables_number 139
_symmetry_space_group_name_Hall '-I 4 2'
loop_
_atom_site_label
_atom_site_fract_x
_atom_site_fract_y
_atom_site_fract_z
Nd1 0.0000 0.0000 0.1179
Ho1 0.0000 0.0000 0.5000
Te1 0.0000 0.0000 0.3135
Se1 0.0000 0.5000 0.0000
```

# 2
Below is Nd3HoTh2Se6 after structural relaxation, with properties calculated at the PBE level.

DOS(E_F) ... 0.602 states/eV/atom
Total energy ... -6.258 eV per atom

CIF file:
```
data_Nd3HoTh2Se6
_chemical_formula_sum 'Nd6 Ho2 Th4 Se12'
_cell_length_a 7.2724
_cell_length_b 12.5700
_cell_length_c 7.2664
_cell_angle_alpha 90.00
_cell_angle_beta 109.53
_cell_angle_gamma 90.00
_symmetry_space_group_name_H-M 'C 1 2/m 1'
_symmetry_Int_Tables_number 12
loop_
_symmetry_equiv_pos_as_xyz
'x,y,z'
'-x,-y,-z'
'-x,y,-z'
'x,-y,z'
'x+1/2,y+1/2,z'
'-x+1/2,-y+1/2,-z'
'-x+1/2,y+1/2,-z'
'x+1/2,-y+1/2,z'
loop_
_atom_site_label
_atom_site_fract_x
_atom_site_fract_y
_atom_site_fract_z
Nd1 0.0000 0.0000 0.0000
Nd2 0.0000 0.3300 0.0000
Ho1 0.0000 0.5000 0.5000
Th1 0.0000 0.1665 0.5000
Se1 0.2420 0.5000 0.2532
Se2 0.2432 0.3377 0.7433
```

# 3
Below is Nd2HoThSe5 after structural relaxation, with properties calculated at the PBE level.

DOS(E_F) ... 1.059 states/eV/atom
Total energy ... -5.498 eV per atom

CIF file:
```
data_Nd2HoThSe5
_chemical_formula_sum 'Nd2 Ho1 Th1 Se5'
_cell_length_a 5.0957
_cell_length_b 5.0957
_cell_length_c 10.9154
_cell_angle_alpha 90.00
_cell_angle_beta 90.00
_cell_angle_gamma 90.00
_symmetry_space_group_name_H-M 'P 4/m m m'
_symmetry_Int_Tables_number 123
_symmetry_space_group_name_Hall '-P 4 2'
loop_
_atom_site_label
_atom_site_fract_x
_atom_site_fract_y
_atom_site_fract_z
Nd1 0.0000 0.0000 0.1785
Ho1 0.5000 0.5000 0.0000
Th1 0.5000 0.5000 0.5000
Se1 0.0000 0.0000 0.5000
Se2 0.0000 0.5000 0.0000
Se3 0.5000 0.5000 0.2507
```

# 4
Below is NdHo3Th4Se8 after structural relaxation, with properties calculated at the PBE level.

DOS(E_F) ... 0.344 states/eV/atom
Total energy ... -6.395 eV per atom

CIF file:
```
data_NdHo3Th4Se8
_chemical_formula_sum 'Nd3 Ho9 Th12 Se24'
_cell_length_a 8.1203
_cell_length_b 8.1203
_cell_length_c 21.2599
_cell_angle_alpha 90.00
_cell_angle_beta 90.00
_cell_angle_gamma 120.00
_symmetry_space_group_name_H-M 'R -3 m'
_symmetry_Int_Tables_number 166
_symmetry_space_group_name_Hall '-R 3 2"'
loop_
_atom_site_label
_atom_site_fract_x
_atom_site_fract_y
_atom_site_fract_z
Nd1 0.0000 0.0000 0.0000
Ho1 0.0000 0.5000 0.0000
Th1 0.0000 0.0000 0.5000
Th2 0.0000 0.5000 0.5000
Se1 0.0000 0.0000 0.2559
Se2 0.0071 0.5036 0.2542
```

Q: Number 2 is which compound?
A: Nd3HoTh2Se6